Material: Li2VF6
Method: DFT, PBE+U
State: optimized geometry

POSCAR file:
```
Li2VF6
1.0
-1.2728 -4.0038 3.1894
-1.1276 -4.4879 -2.5317
9.1409 -0.9322 0.3109
F Li V
12 4 2
direct
0.3856 0.9861 0.2094 F
0.3717 0.4838 0.9154 F
0.7733 0.1288 0.1864 F
0.9934 0.0766 0.4545 F
0.9861 0.3856 0.7094 F
0.6223 0.8898 0.8134 F
0.0766 0.9934 0.9545 F
0.4838 0.3717 0.4154 F
0.8929 0.5826 0.0090 F
0.5826 0.8929 0.5090 F
0.8898 0.6223 0.3134 F
0.1288 0.7733 0.6864 F
0.0217 0.2736 0.1349 Li
0.4869 0.7967 0.0031 Li
0.2736 0.0217 0.6349 Li
0.7967 0.4869 0.5031 Li
0.6891 0.0072 0.3447 V
0.0072 0.6891 0.8447 V
```

## Properties
The calculated density is 2.58 g/cm3. As for the energy relative to the lowest polymorph listed for this composition: 4.6 kJ/mol of atoms. As for the volume: 12.790 Å³ per atom.